CaRhSe2N | PBE-GGA | relaxed

Cell and atoms, written as extended XYZ:
```
5
Lattice="5.236 0.000 0.000 0.000 5.236 0.000 0.000 0.000 3.686" Properties=species:S:1:pos:R:3 pbc="T T T"
Ca 0.000 0.000 0.000
Rh 2.618 2.618 1.843
Se 0.000 2.618 1.843
Se 2.618 0.000 1.843
N 2.618 2.618 0.000
```

- formation energy (no corrections) (eV per atom) = -0.39
- spin magnetization (μB/f.u.) = 0.00
- distance to the lowest polymorph of the same formula (eV/atom) = 0.000